1.
Density functional theory data (PBE) for a relaxed structure of SrCrPt2.

POSCAR file:
```
SrCrPt2
1.0
3.068 0.000 0.000
0.000 3.960 0.000
0.000 0.000 6.653
Sr Cr Pt
1 1 2
Cartesian
0.000 0.000 0.000 Sr
1.534 1.980 2.379 Cr
0.000 0.000 3.223 Pt
1.534 1.980 4.901 Pt
```

Output
DOS(E_F)	2.74	states/eV/cell
volume	20.21	Å³ per atom
excess energy over the best structure of this formula in the dataset	37.3	kJ/mol of atoms
ΔH_f (0 K)	-45	meV/atom
total moment	3.49	μB/f.u.

=====

2.
Density functional theory data (PBE) for a relaxed structure of Zr2NiSb.

POSCAR file:
```
Zr2NiSb
1.0
3.784 0.000 0.000
-1.892 3.277 0.000
0.000 0.000 13.872
Zr Ni Sb
4 2 2
Cartesian
0.000 2.185 1.459 Zr
0.000 2.185 5.477 Zr
1.892 1.092 8.396 Zr
1.892 1.092 12.413 Zr
0.000 0.000 0.000 Ni
0.000 0.000 6.936 Ni
0.000 2.185 10.404 Sb
1.892 1.092 3.468 Sb
```

Output
DOS(E_F)	8.68	states/eV/cell
volume	21.51	Å³ per atom
formation energy without anion corrections	-0.3618	eV/atom
total moment	0.00	μB/f.u.

=====

3.
Density functional theory data (PBE) for a relaxed structure of Ga5CoIr4.

POSCAR file:
```
Ga5CoIr4
1.0
2.998 0.000 0.000
0.000 2.998 0.000
0.000 0.000 15.425
Ga Co Ir
5 1 4
Cartesian
0.000 0.000 0.000 Ga
0.000 0.000 3.177 Ga
0.000 0.000 6.345 Ga
0.000 0.000 9.081 Ga
0.000 0.000 12.248 Ga
1.499 1.499 7.713 Co
1.499 1.499 1.599 Ir
1.499 1.499 4.759 Ir
1.499 1.499 10.667 Ir
1.499 1.499 13.826 Ir
```

Output
DOS(E_F)	3.06	states/eV/cell
volume	13.86	Å³ per atom
ΔH_f (0 K)	-371	meV/atom
total moment	0.60	μB/f.u.

=====

4.
Density functional theory data (PBE) for a relaxed structure of CsBeBr3.

POSCAR file:
```
CsBeBr3
1.0
6.815 0.000 0.000
0.000 6.815 0.000
0.000 0.000 6.815
Cs Be Br
1 1 3
Cartesian
0.000 0.000 0.000 Cs
3.407 3.407 3.407 Be
0.000 0.000 3.407 Br
0.000 3.407 0.000 Br
3.407 0.000 0.000 Br
```

Output
DOS(E_F)	14.55	states/eV/cell
volume	63.30	Å³ per atom
excess energy over the best structure of this formula in the dataset	171.7	kJ/mol of atoms
formation energy without anion corrections	0.4085	eV/atom
total moment	2.08	μB/f.u.

=====

5.
Density functional theory data (PBE) for a relaxed structure of PmMnC.

POSCAR file:
```
PmMnC
1.0
5.604 0.000 0.000
0.000 3.328 0.000
-1.942 0.000 5.554
Pm Mn C
2 2 2
Cartesian
0.420 0.832 1.569 Pm
3.242 2.496 3.985 Pm
0.320 0.832 4.788 Mn
3.342 2.496 0.766 Mn
-0.357 2.496 5.498 C
4.019 0.832 0.056 C
```

Output
DOS(E_F)	4.11	states/eV/cell
volume	17.26	Å³ per atom
excess energy over the best structure of this formula in the dataset	0.0	kJ/mol of atoms
ΔH_f (0 K)	-57	meV/atom
total moment	1.59	μB/f.u.

=====

6.
Density functional theory data (PBE) for a relaxed structure of Sr3Ga4Si2.

POSCAR file:
```
Sr3Ga4Si2
1.0
6.001 -2.140 0.000
6.001 2.140 0.000
-0.793 0.000 8.717
Sr Ga Si
3 4 2
Cartesian
0.000 0.000 0.000 Sr
3.716 0.000 2.920 Sr
7.494 0.000 5.797 Sr
0.330 0.000 3.356 Ga
2.501 0.000 8.185 Ga
8.709 0.000 0.532 Ga
10.880 0.000 5.361 Ga
4.075 0.000 6.298 Si
7.135 0.000 2.419 Si
```

Output
DOS(E_F)	3.39	states/eV/cell
volume	24.88	Å³ per atom
formation energy without anion corrections	-0.4910	eV/atom
total moment	0.00	μB/f.u.